Below is crystalline ZrW2 at its relaxed geometry, with properties calculated at the PBEsol level.

## Properties
As for the space-group type: P4/mmm (123). For the total energy, the calculation gives -0.839 Ry per atom. Its energy relative to the elements is 0.826 eV/atom. The value obtained for the magnetic moment is 0.000 μB/atom. The value obtained for the calculated volume is 20.55 Å³/atom.

a = 3.618 Å, b = 3.618 Å, c = 4.709 Å
α = 90.00°, β = 90.00°, γ = 90.00°
Sites, in units of the cell vectors:
Zr1 0.000 0.000 0.000
W1 0.000 0.500 0.500
W2 0.500 0.000 0.500


Below is crystalline Zr4W3 at its relaxed geometry, with properties calculated at the PBEsol level.

## Properties
As for the space-group type: P6/mmm (191). For the total energy, the calculation gives -0.817 Ry per atom. Its energy relative to the elements is 0.001 eV/atom. The value obtained for the magnetic moment is 0.000 μB/atom. The value obtained for the calculated volume is 19.16 Å³/atom.

a = 5.263 Å, b = 5.263 Å, c = 5.590 Å
α = 90.00°, β = 90.00°, γ = 120.00°
Sites, in units of the cell vectors:
Zr1 0.000 0.000 0.236
Zr2 0.000 0.000 0.764
Zr3 0.333 0.667 0.000
Zr4 0.667 0.333 0.000
W1 0.000 0.500 0.500
W2 0.500 0.000 0.500
W3 0.500 0.500 0.500


Below is crystalline Y at its relaxed geometry, with properties calculated at the PBEsol level.

## Properties
As for the space-group type: R-3m (166). Its energy above the most stable polymorph in this dataset is 0.00 eV/f.u. For the total energy, the calculation gives -0.501 Ry per atom. Its energy relative to the elements is 0.000 eV/atom. The value obtained for the magnetic moment is 0.000 μB/atom. The value obtained for the calculated volume is 30.53 Å³/atom.

a = 3.536 Å, b = 3.536 Å, c = 25.376 Å
α = 90.00°, β = 90.00°, γ = 120.00°
Sites, in units of the cell vectors:
Y1 0.000 0.000 0.000
Y2 0.000 0.000 0.222
Y3 0.000 0.000 0.778
Y4 0.333 0.667 0.445
Y5 0.333 0.667 0.667
Y6 0.333 0.667 0.889
Y7 0.667 0.333 0.111
Y8 0.667 0.333 0.333
Y9 0.667 0.333 0.555


Below is crystalline Y at its relaxed geometry, with properties calculated at the PBEsol level.

## Properties
As for the space-group type: P6/mmm (191). Its energy above the most stable polymorph in this dataset is 0.06 eV/f.u. For the total energy, the calculation gives -0.497 Ry per atom. Its energy relative to the elements is 0.062 eV/atom. The value obtained for the magnetic moment is 0.001 μB/atom. The value obtained for the calculated volume is 30.46 Å³/atom.

a = 5.529 Å, b = 5.529 Å, c = 3.451 Å
α = 90.00°, β = 90.00°, γ = 120.00°
Sites, in units of the cell vectors:
Y1 0.000 0.000 0.000
Y2 0.333 0.667 0.500
Y3 0.667 0.333 0.500


Below is crystalline Y at its relaxed geometry, with properties calculated at the PBEsol level.

## Properties
As for the space-group type: Fmmm (69). Its energy above the most stable polymorph in this dataset is 0.20 eV/f.u. For the total energy, the calculation gives -0.487 Ry per atom. Its energy relative to the elements is 0.200 eV/atom. The value obtained for the magnetic moment is 0.000 μB/atom. The value obtained for the calculated volume is 31.24 Å³/atom.

a = 3.616 Å, b = 5.666 Å, c = 12.196 Å
α = 90.00°, β = 90.00°, γ = 90.00°
Sites, in units of the cell vectors:
Y1 0.000 0.000 0.137
Y2 0.000 0.000 0.863
Y3 0.000 0.500 0.363
Y4 0.000 0.500 0.637
Y5 0.500 0.000 0.363
Y6 0.500 0.000 0.637
Y7 0.500 0.500 0.137
Y8 0.500 0.500 0.863


Below is crystalline Y at its relaxed geometry, with properties calculated at the PBEsol level.

## Properties
As for the space-group type: P6_3/mmc (194). Its energy above the most stable polymorph in this dataset is 0.00 eV/f.u. For the total energy, the calculation gives -0.501 Ry per atom. Its energy relative to the elements is 0.003 eV/atom. The value obtained for the magnetic moment is 0.001 μB/atom. The value obtained for the calculated volume is 30.96 Å³/atom.

a = 3.583 Å, b = 3.583 Å, c = 5.570 Å
α = 90.00°, β = 90.00°, γ = 120.00°
Sites, in units of the cell vectors:
Y1 0.333 0.667 0.250
Y2 0.667 0.333 0.750


Below is crystalline Y at its relaxed geometry, with properties calculated at the PBEsol level.

## Properties
As for the space-group type: I4/mmm (139). Its energy above the most stable polymorph in this dataset is 0.02 eV/f.u. For the total energy, the calculation gives -0.500 Ry per atom. Its energy relative to the elements is 0.020 eV/atom. The value obtained for the magnetic moment is 0.000 μB/atom. The value obtained for the calculated volume is 30.38 Å³/atom.

a = 3.505 Å, b = 3.505 Å, c = 4.945 Å
α = 90.00°, β = 90.00°, γ = 90.00°
Sites, in units of the cell vectors:
Y1 0.000 0.000 0.000
Y2 0.500 0.500 0.500


Below is crystalline Y6Zn23 at its relaxed geometry, with properties calculated at the PBEsol level.

## Properties
As for the space-group type: Fm-3m (225). For the total energy, the calculation gives -0.221 Ry per atom. Its energy relative to the elements is -0.340 eV/atom. The value obtained for the magnetic moment is 0.000 μB/atom. The value obtained for the calculated volume is 16.67 Å³/atom.

a = 8.810 Å, b = 8.810 Å, c = 8.810 Å
α = 60.00°, β = 60.00°, γ = 60.00°
Sites, in units of the cell vectors:
Y1 0.208 0.208 0.792
Y2 0.208 0.792 0.208
Y3 0.208 0.792 0.792
Y4 0.792 0.208 0.208
Y5 0.792 0.208 0.792
Y6 0.792 0.792 0.208
Zn1 0.000 0.000 0.500
Zn2 0.000 0.500 0.000
Zn3 0.000 0.500 0.500
Zn4 0.131 0.623 0.623
Zn5 0.172 0.172 0.172
Zn6 0.172 0.172 0.484
Zn7 0.172 0.484 0.172
Zn8 0.377 0.377 0.377
Zn9 0.377 0.377 0.869
Zn10 0.377 0.869 0.377
Zn11 0.484 0.172 0.172
Zn12 0.500 0.000 0.000
Zn13 0.500 0.000 0.500
Zn14 0.500 0.500 0.000
Zn15 0.500 0.500 0.500
Zn16 0.516 0.828 0.828
Zn17 0.623 0.131 0.623
Zn18 0.623 0.623 0.131
Zn19 0.623 0.623 0.623
Zn20 0.828 0.516 0.828
Zn21 0.828 0.828 0.516
Zn22 0.828 0.828 0.828
Zn23 0.869 0.377 0.377